## A
Computed, not measured: an optimized crystal structure of HfAl3Pd at the GGA-PBE level of DFT.

## Properties
Symmetry = Pm-3m, No. 221

Cell lengths 5.1194, 5.1194, 5.1194 Å; angles 90.00, 90.00, 90.00 degrees
Last column: nearest neighbours and their distance in Å.
Element x y z (fractional)
Hf  0.0000  0.0000  0.0000  6 Al 2.56
Al  0.0000  0.0000  0.5000  2 Hf 2.56
Al  0.0000  0.5000  0.0000  2 Hf 2.56
Al  0.5000  0.0000  0.0000  2 Hf 2.56
Pd  0.5000  0.5000  0.5000  12 Al 3.62

=====

## B
Computed, not measured: an optimized crystal structure of HfAl3Pd at the GGA-PBE level of DFT.

## Properties
Symmetry = Cmcm, No. 63

Cell lengths 6.3899, 6.3899, 9.0719 Å; angles 90.00, 90.00, 111.64 degrees
Last column: nearest neighbours and their distance in Å.
Element x y z (fractional)
Hf  0.1214  0.8786  0.7500  6 Al 2.86-3.09, 4 Pd 3.20
Hf  0.3612  0.6388  0.2500  10 Al 3.01-3.28, 4 Pd 3.12
Hf  0.6388  0.3612  0.7500  10 Al 3.01-3.28, 4 Pd 3.12
Hf  0.8786  0.1214  0.2500  6 Al 2.86-3.09, 4 Pd 3.20
Al  0.1115  0.8885  0.0902  2 Pd 2.46, 4 Al 2.67-2.70
Al  0.1115  0.8885  0.4098  2 Pd 2.46, 4 Al 2.67-2.70
Al  0.1793  0.4517  0.7500  2 Pd 2.61, 5 Al 2.65-2.70, 1 Hf 2.89
Al  0.3142  0.3142  0.0000  5 Al 2.67-2.69, 2 Pd 2.68
Al  0.3142  0.3142  0.5000  5 Al 2.67-2.69, 2 Pd 2.68
Al  0.4517  0.1793  0.2500  2 Pd 2.61, 5 Al 2.65-2.70, 1 Hf 2.89
Al  0.5483  0.8207  0.7500  2 Pd 2.61, 5 Al 2.65-2.70, 1 Hf 2.89
Al  0.6858  0.6858  0.0000  5 Al 2.67-2.69, 2 Pd 2.68
Al  0.6858  0.6858  0.5000  5 Al 2.67-2.69, 2 Pd 2.68
Al  0.8207  0.5483  0.2500  2 Pd 2.61, 5 Al 2.65-2.70, 1 Hf 2.89
Al  0.8885  0.1115  0.5902  2 Pd 2.46, 4 Al 2.67-2.70
Al  0.8885  0.1115  0.9098  2 Pd 2.46, 4 Al 2.67-2.70
Pd  0.0000  0.5000  0.0000  6 Al 2.46-2.68
Pd  0.0000  0.5000  0.5000  6 Al 2.46-2.68
Pd  0.5000  0.0000  0.0000  6 Al 2.46-2.68
Pd  0.5000  0.0000  0.5000  6 Al 2.46-2.68

=====

Need the numbers? Relative energies in eV/atom: A 1.586; B 0.000.